one | # PBE-GGA Ba3Br, relaxed
# Calculated volume   458.2 Å³/cell
data_Ba3Br
_cell_length_a 6.834
_cell_length_b 7.700
_cell_length_c 8.708
_cell_angle_alpha 90.00
_cell_angle_beta 90.00
_cell_angle_gamma 90.00
_space_group_name_H-M_alt 'P 1'
_space_group_IT_number 1
loop_
_space_group_symop_operation_xyz
'x,y,z'
loop_
_atom_site_label
_atom_site_fract_x
_atom_site_fract_y
_atom_site_fract_z
Ba1 0.250 0.001 0.113
Ba2 0.250 0.499 0.113
Ba3 0.250 0.750 0.608
Ba4 0.750 0.250 0.392
Ba5 0.750 0.501 0.887
Ba6 0.750 0.999 0.887
Br1 0.250 0.250 0.435
Br2 0.750 0.750 0.565

two | # PBE-GGA Ba3Br, relaxed
# Calculated volume   527.6 Å³/cell
data_Ba3Br
_cell_length_a 9.106
_cell_length_b 9.106
_cell_length_c 7.692
_cell_angle_alpha 90.00
_cell_angle_beta 90.00
_cell_angle_gamma 124.18
_space_group_name_H-M_alt 'P 1'
_space_group_IT_number 1
loop_
_space_group_symop_operation_xyz
'x,y,z'
loop_
_atom_site_label
_atom_site_fract_x
_atom_site_fract_y
_atom_site_fract_z
Ba1 0.074 0.926 0.750
Ba2 0.079 0.425 0.750
Ba3 0.425 0.079 0.250
Ba4 0.575 0.921 0.750
Ba5 0.921 0.575 0.250
Ba6 0.926 0.074 0.250
Br1 0.471 0.529 0.750
Br2 0.529 0.471 0.250

If you had to name the least stable structure above, which would it be? It would be one.